10
Lattice="2.5085 1.4483 4.5252 -2.5085 1.4483 4.5252 0.0000 -2.8966 4.5252" Properties=species:S:1:pos:R:3 comment="Cr2GaCoO6 PBE+U optimized geometry" energy_ev_per_atom=-6.936 pbc="T T T"
Cr 0.0000 0.0000 0.0000
Cr 0.0000 0.0000 6.7086
Ga 0.0000 0.0000 3.9433
Co 0.0000 0.0000 10.8977
O -1.5415 -0.0553 5.4130
O -1.0104 -1.4644 7.6519
O 0.8187 -1.3073 5.4130
O -0.7630 1.6072 7.6519
O 0.7228 1.3627 5.4130
O 1.7734 -0.1428 7.6519